# ScTlSi4 PBEsol relaxed
data_ScTlSi4
_symmetry_space_group_name_H-M 'F -4 3 m'
_symmetry_Int_Tables_number 216
_symmetry_space_group_name_Hall 'F -4 2 3'
_cell_length_a 7.3885
_cell_length_b 7.3885
_cell_length_c 7.3885
_cell_angle_alpha 90.00
_cell_angle_beta 90.00
_cell_angle_gamma 90.00
loop_
_atom_site_label
_atom_site_type_symbol
_atom_site_fract_x
_atom_site_fract_y
_atom_site_fract_z
Sc1 Sc 0.0000 0.0000 0.0000
Tl1 Tl 0.2500 0.2500 0.2500
Si1 Si 0.1256 0.1256 0.6256
# Energy relative to the elements, uncorrected ... -0.004 eV per atom

***

# Sc2TlSi PBEsol relaxed
data_Sc2TlSi
_symmetry_space_group_name_H-M 'C m m 2'
_symmetry_Int_Tables_number 35
_symmetry_space_group_name_Hall 'C 2 -2'
_cell_length_a 4.3726
_cell_length_b 5.0959
_cell_length_c 7.6444
_cell_angle_alpha 90.00
_cell_angle_beta 90.00
_cell_angle_gamma 90.00
loop_
_atom_site_label
_atom_site_type_symbol
_atom_site_fract_x
_atom_site_fract_y
_atom_site_fract_z
Sc1 Sc 0.0000 0.0000 0.0000
Sc2 Sc 0.0000 0.5000 0.2889
Tl1 Tl 0.0000 0.5000 0.7268
Si1 Si 0.0000 0.0000 0.4887
# Energy relative to the elements, uncorrected ... -0.065 eV per atom

***

# ScTl2Si PBEsol relaxed
data_ScTl2Si
_symmetry_space_group_name_H-M 'I m m m'
_symmetry_Int_Tables_number 71
_symmetry_space_group_name_Hall '-I 2 2'
_cell_length_a 3.6822
_cell_length_b 4.0969
_cell_length_c 12.3558
_cell_angle_alpha 90.00
_cell_angle_beta 90.00
_cell_angle_gamma 90.00
loop_
_atom_site_label
_atom_site_type_symbol
_atom_site_fract_x
_atom_site_fract_y
_atom_site_fract_z
Sc1 Sc 0.0000 0.0000 0.0000
Tl1 Tl 0.0000 0.5000 0.1917
Si1 Si 0.0000 0.0000 0.5000
# Energy relative to the elements, uncorrected ... -0.076 eV per atom
# Energy above the lowest structure with this stoichiometry ... 13 meV/atom

***

# ScTl2Si PBEsol relaxed
data_ScTl2Si
_symmetry_space_group_name_H-M 'P 4 m m'
_symmetry_Int_Tables_number 99
_symmetry_space_group_name_Hall 'P 4 -2'
_cell_length_a 3.6384
_cell_length_b 3.6384
_cell_length_c 7.0607
_cell_angle_alpha 90.00
_cell_angle_beta 90.00
_cell_angle_gamma 90.00
loop_
_atom_site_label
_atom_site_type_symbol
_atom_site_fract_x
_atom_site_fract_y
_atom_site_fract_z
Sc1 Sc 0.0000 0.0000 0.0000
Tl1 Tl 0.0000 0.0000 0.4217
Tl2 Tl 0.5000 0.5000 0.7092
Si1 Si 0.5000 0.5000 0.1074
# Energy relative to the elements, uncorrected ... -0.089 eV per atom
# Energy above the lowest structure with this stoichiometry ... 0 meV/atom

***

# ScTlSi2 PBEsol relaxed
data_ScTlSi2
_symmetry_space_group_name_H-M 'R 3 m'
_symmetry_Int_Tables_number 160
_symmetry_space_group_name_Hall 'R 3 -2"'
_cell_length_a 3.6137
_cell_length_b 3.6137
_cell_length_c 22.1872
_cell_angle_alpha 90.00
_cell_angle_beta 90.00
_cell_angle_gamma 120.00
loop_
_atom_site_label
_atom_site_type_symbol
_atom_site_fract_x
_atom_site_fract_y
_atom_site_fract_z
Sc1 Sc 0.0000 0.0000 0.0000
Tl1 Tl 0.0000 0.0000 0.2295
Si1 Si 0.0000 0.0000 0.4596
Si2 Si 0.0000 0.0000 0.7446
# Energy relative to the elements, uncorrected ... -0.053 eV per atom
# Energy above the lowest structure with this stoichiometry ... 36 meV/atom

***

# ScTl2Si PBEsol relaxed
data_ScTl2Si
_symmetry_space_group_name_H-M 'C m m m'
_symmetry_Int_Tables_number 65
_symmetry_space_group_name_Hall '-C 2 2'
_cell_length_a 5.9552
_cell_length_b 8.6264
_cell_length_c 3.4019
_cell_angle_alpha 90.00
_cell_angle_beta 90.00
_cell_angle_gamma 90.00
loop_
_atom_site_label
_atom_site_type_symbol
_atom_site_fract_x
_atom_site_fract_y
_atom_site_fract_z
Sc1 Sc 0.0000 0.0000 0.0000
Tl1 Tl 0.2500 0.2500 0.5000
Si1 Si 0.0000 0.5000 0.0000
# Energy relative to the elements, uncorrected ... 0.040 eV per atom
# Energy above the lowest structure with this stoichiometry ... 129 meV/atom

***

# Sc2V3Si4 PBEsol relaxed
data_Sc2V3Si4
_symmetry_space_group_name_H-M 'P 41 21 2'
_symmetry_Int_Tables_number 92
_symmetry_space_group_name_Hall 'P 4abw 2nw'
_cell_length_a 6.5618
_cell_length_b 6.5618
_cell_length_c 12.1523
_cell_angle_alpha 90.00
_cell_angle_beta 90.00
_cell_angle_gamma 90.00
loop_
_atom_site_label
_atom_site_type_symbol
_atom_site_fract_x
_atom_site_fract_y
_atom_site_fract_z
Sc1 Sc 0.0016 0.3366 0.2201
V1 V 0.0077 0.8429 0.1236
V2 V 0.1682 0.1682 0.0000
Si1 Si 0.0394 0.2949 0.8149
Si2 Si 0.1299 0.7967 0.9299
# Energy relative to the elements, uncorrected ... -0.813 eV per atom

***

# ScV5Si5 PBEsol relaxed
data_ScV5Si5
_symmetry_space_group_name_H-M 'C 1 2/m 1'
_symmetry_Int_Tables_number 12
_symmetry_space_group_name_Hall '-C 2y'
_cell_length_a 17.6973
_cell_length_b 4.8744
_cell_length_c 7.5307
_cell_angle_alpha 90.00
_cell_angle_beta 115.18
_cell_angle_gamma 90.00
loop_
_atom_site_label
_atom_site_type_symbol
_atom_site_fract_x
_atom_site_fract_y
_atom_site_fract_z
Sc1 Sc 0.1427 0.0000 0.0305
V1 V 0.0636 0.5000 0.8074
V2 V 0.0651 0.0000 0.3198
V3 V 0.1415 0.5000 0.2601
V4 V 0.1886 0.2515 0.6887
Si1 Si 0.0000 0.2535 0.0000
Si2 Si 0.0632 0.0000 0.6478
Si3 Si 0.0641 0.5000 0.4749
Si4 Si 0.2119 0.5000 0.0127
Si5 Si 0.2162 0.0000 0.4252
# Energy relative to the elements, uncorrected ... -0.683 eV per atom

***

# ScSiW2 PBEsol relaxed
data_ScSiW2
_symmetry_space_group_name_H-M 'C 1 m 1'
_symmetry_Int_Tables_number 8
_symmetry_space_group_name_Hall 'C -2y'
_cell_length_a 9.2946
_cell_length_b 3.3134
_cell_length_c 4.4721
_cell_angle_alpha 90.00
_cell_angle_beta 112.82
_cell_angle_gamma 90.00
loop_
_atom_site_label
_atom_site_type_symbol
_atom_site_fract_x
_atom_site_fract_y
_atom_site_fract_z
Sc1 Sc 0.0000 0.0000 0.0000
Si1 Si 0.2343 0.0000 0.7178
W1 W 0.2609 0.5000 0.2535
W2 W 0.4922 0.0000 0.5067
# Energy relative to the elements, uncorrected ... 0.005 eV per atom
# Energy above the lowest structure with this stoichiometry ... 0 meV/atom

***

# ScSiW2 PBEsol relaxed
data_ScSiW2
_symmetry_space_group_name_H-M 'P 4/m m m'
_symmetry_Int_Tables_number 123
_symmetry_space_group_name_Hall '-P 4 2'
_cell_length_a 2.7583
_cell_length_b 2.7583
_cell_length_c 8.3621
_cell_angle_alpha 90.00
_cell_angle_beta 90.00
_cell_angle_gamma 90.00
loop_
_atom_site_label
_atom_site_type_symbol
_atom_site_fract_x
_atom_site_fract_y
_atom_site_fract_z
Sc1 Sc 0.0000 0.0000 0.0000
Si1 Si 0.0000 0.0000 0.5000
W1 W 0.5000 0.5000 0.2794
# Energy relative to the elements, uncorrected ... 0.230 eV per atom
# Energy above the lowest structure with this stoichiometry ... 225 meV/atom

***

# Sc2Si2W PBEsol relaxed
data_Sc2Si2W
_symmetry_space_group_name_H-M 'P 4/m b m'
_symmetry_Int_Tables_number 127
_symmetry_space_group_name_Hall '-P 4 2ab'
_cell_length_a 6.6353
_cell_length_b 6.6353
_cell_length_c 3.7693
_cell_angle_alpha 90.00
_cell_angle_beta 90.00
_cell_angle_gamma 90.00
loop_
_atom_site_label
_atom_site_type_symbol
_atom_site_fract_x
_atom_site_fract_y
_atom_site_fract_z
Sc1 Sc 0.1762 0.3238 0.0000
Si1 Si 0.1288 0.6288 0.5000
W1 W 0.0000 0.0000 0.5000
# Energy relative to the elements, uncorrected ... -0.648 eV per atom

***

# Sc2SiW PBEsol relaxed
data_Sc2SiW
_symmetry_space_group_name_H-M 'P m m m'
_symmetry_Int_Tables_number 47
_symmetry_space_group_name_Hall '-P 2 2'
_cell_length_a 3.0143
_cell_length_b 3.7134
_cell_length_c 6.1682
_cell_angle_alpha 90.00
_cell_angle_beta 90.00
_cell_angle_gamma 90.00
loop_
_atom_site_label
_atom_site_type_symbol
_atom_site_fract_x
_atom_site_fract_y
_atom_site_fract_z
Sc1 Sc 0.0000 0.0000 0.2421
Si1 Si 0.5000 0.5000 0.0000
W1 W 0.5000 0.5000 0.5000
# Energy relative to the elements, uncorrected ... -0.174 eV per atom

***

# YScSi2 PBEsol relaxed
data_YScSi2
_symmetry_space_group_name_H-M 'F m -3 m'
_symmetry_Int_Tables_number 225
_symmetry_space_group_name_Hall '-F 4 2 3'
_cell_length_a 6.7810
_cell_length_b 6.7810
_cell_length_c 6.7810
_cell_angle_alpha 90.00
_cell_angle_beta 90.00
_cell_angle_gamma 90.00
loop_
_atom_site_label
_atom_site_type_symbol
_atom_site_fract_x
_atom_site_fract_y
_atom_site_fract_z
Y1 Y 0.0000 0.0000 0.0000
Sc1 Sc 0.0000 0.0000 0.5000
Si1 Si 0.2500 0.2500 0.2500
# Energy relative to the elements, uncorrected ... -0.463 eV per atom
# Energy above the lowest structure with this stoichiometry ... 425 meV/atom